(1)
# Ce2ZrS5

A relaxed Ce2ZrS5 crystal (PBE-GGA, Alexandria).

For the energy relative to the elements, uncorrected, the calculation gives -1.860 eV per atom. Its crystal system is orthorhombic.

The structure belongs to space group Pnma (No. 62); the cell edges are 11.491, 8.049 and 7.342 Å and the angles 90.00°, 90.00° and 90.00°. The distinct sites, in fractional coordinates, are Ce at (0.175, 0.000, 0.045), Zr at (0.008, 0.250, 0.576), S at (0.003, 0.250, 0.948), S at (0.082, 0.537, 0.673), S at (0.189, 0.250, 0.349) and S at (0.210, 0.750, 0.327).



(2)
# CeMg2Ga2Pd

A relaxed CeMg2Ga2Pd crystal (PBE-GGA, Alexandria).

For the energy of formation from the pure elements, the calculation gives -0.02 eV per formula unit. Its crystal system is tetragonal.

The structure belongs to space group I4/mmm (No. 139); the cell edges are 5.132, 5.132 and 11.091 Å and the angles 90.00°, 90.00° and 90.00°. The distinct sites, in fractional coordinates, are Ce at (0.000, 0.000, 0.000), Mg at (0.000, 0.500, 0.250), Ga at (0.000, 0.000, 0.284) and Pd at (0.000, 0.000, 0.500).



(3)
# Li3Zn6Ni

A relaxed Li3Zn6Ni crystal (PBE-GGA, Alexandria).

For the energy of formation from the pure elements, the calculation gives -1.50 eV per formula unit. Its crystal system is trigonal.

The structure belongs to space group R-3m (No. 166, hexagonal axes); the cell edges are 10.4330, 10.4330 and 9.1748 Å and the angles 90.00°, 90.00° and 120.00°. The distinct sites, in fractional coordinates, are Li at (0.0860, 0.1719, 0.2470), Zn at (0.0000, 0.2471, 0.5000), Zn at (0.0592, 0.5296, 0.6231), Ni at (0.0000, 0.0000, 0.0000) and Ni at (0.0000, 0.0000, 0.5000).



(4)
# AcVRu2

A relaxed AcVRu2 crystal (PBE-GGA, Alexandria).

For the energy of formation from the pure elements, the calculation gives 0.46 eV per formula unit. As for the energy relative to the lowest polymorph listed for this composition: 0.122 eV/atom. Its crystal system is tetragonal.

The structure belongs to space group P4/mmm (No. 123); the cell edges are 3.159, 3.159 and 7.416 Å and the angles 90.00°, 90.00° and 90.00°. The distinct sites, in fractional coordinates, are Ac at (0.000, 0.000, 0.000), V at (0.000, 0.000, 0.500) and Ru at (0.500, 0.500, 0.312).